# Rb4NiF6 | Alexandria | GGA+U | optimized geometry
# raw total energy = -4.18 eV/atom
data_Rb4NiF6
_chemical_formula_sum 'Rb8 Ni2 F12'
_cell_length_a 7.5683
_cell_length_b 7.5683
_cell_length_c 7.5683
_cell_angle_alpha 91.05
_cell_angle_beta 91.05
_cell_angle_gamma 88.95
_symmetry_space_group_name_H-M 'P 1'
_symmetry_Int_Tables_number 1
loop_
_symmetry_equiv_pos_as_xyz
'x,y,z'
loop_
_atom_site_label
_atom_site_type_symbol
_atom_site_fract_x
_atom_site_fract_y
_atom_site_fract_z
F1 F 0.9415 0.0684 0.7406
F2 F 0.4316 0.5585 0.7594
F3 F 0.0585 0.9316 0.2594
F4 F 0.5684 0.4415 0.2406
F5 F 0.9316 0.7406 0.9415
F6 F 0.0684 0.2594 0.0585
F7 F 0.4415 0.7594 0.4316
F8 F 0.2406 0.4316 0.4415
F9 F 0.7406 0.0585 0.0684
F10 F 0.7594 0.5684 0.5585
F11 F 0.2594 0.9415 0.9316
F12 F 0.5585 0.2406 0.5684
Rb1 Rb 0.7500 0.7500 0.2500
Rb2 Rb 0.3839 0.1161 0.2500
Rb3 Rb 0.7500 0.3839 0.8839
Rb4 Rb 0.2500 0.6161 0.1161
Rb5 Rb 0.1161 0.7500 0.6161
Rb6 Rb 0.8839 0.2500 0.3839
Rb7 Rb 0.6161 0.8839 0.7500
Rb8 Rb 0.2500 0.2500 0.7500
Ni1 Ni 0.5000 0.5000 0.5000
Ni2 Ni 0.0000 0.0000 0.0000